GdTmAl4 | PBE-GGA | optimized geometry

The structure belongs to space group F-43m (No. 216); the cell edges are 7.8495, 7.8495 and 7.8495 Å and the angles 90.00°, 90.00° and 90.00°. Symmetry generates all atoms from Gd at (0.0000, 0.0000, 0.0000), Tm at (0.2500, 0.2500, 0.2500) and Al at (0.1250, 0.1250, 0.6250).

The calculation puts the total DFT energy (no corrections) at -6.10 eV per atom. The crystal system is cubic.


GdTm2Al | PBE-GGA | optimized geometry

The structure belongs to space group P4/mmm (No. 123); the cell edges are 4.7327, 4.7327 and 4.7116 Å and the angles 90.00°, 90.00° and 90.00°. Symmetry generates all atoms from Gd at (0.0000, 0.0000, 0.0000), Tm at (0.0000, 0.5000, 0.5000) and Al at (0.5000, 0.5000, 0.0000).

The calculation puts the total DFT energy (no corrections) at -6.88 eV per atom. The crystal system is tetragonal.


GdYTmAl | PBE-GGA | optimized geometry

The structure belongs to space group F-43m (No. 216); the cell edges are 7.5514, 7.5514 and 7.5514 Å and the angles 90.00°, 90.00° and 90.00°. Symmetry generates all atoms from Gd at (0.0000, 0.0000, 0.0000), Y at (0.0000, 0.0000, 0.5000), Tm at (0.2500, 0.2500, 0.2500) and Al at (0.2500, 0.2500, 0.7500).

The calculation puts the total DFT energy (no corrections) at -7.28 eV per atom. The crystal system is cubic.


GdTmAlZn | PBE-GGA | optimized geometry

The structure belongs to space group F-43m (No. 216); the cell edges are 7.1764, 7.1764 and 7.1764 Å and the angles 90.00°, 90.00° and 90.00°. Symmetry generates all atoms from Gd at (0.0000, 0.0000, 0.0000), Tm at (0.0000, 0.0000, 0.5000), Al at (0.2500, 0.2500, 0.7500) and Zn at (0.2500, 0.2500, 0.2500).

The calculation puts the total DFT energy (no corrections) at -6.26 eV per atom. The crystal system is cubic.


N(E_F), record by record: 15.025; 4.546; 23.016; 14.201 states/eV per cell
Total magnetization, record by record: 30.53; 7.64; 31.75; 29.40 μB/cell